8
Lattice="2.493 1.439 4.378 -2.493 1.439 4.378 0.000 -2.879 4.378" Properties=species:S:1:pos:R:3 comment="PtIO6 PBE-GGA optimized geometry" m_tot_mub_per_cell=0.0 space_group=R-3 final_energy_ev_per_atom=-4.761 mass_density_g_cm3=7.36 pbc="T T T"
Pt 0.000 0.000 0.000
I 0.000 0.000 6.567
O -1.616 0.047 5.502
O -0.849 -1.375 7.633
O 0.767 -1.423 5.502
O -0.767 1.423 7.633
O 0.849 1.375 5.502
O 1.616 -0.047 7.633



5
Lattice="5.434 0.000 0.000 0.000 5.434 0.000 0.000 0.000 5.434" Properties=species:S:1:pos:R:3 comment="PtI3O PBE-GGA optimized geometry" m_tot_mub_per_cell=0.0 polymorph_energy_mev_per_atom=0 space_group=Pm-3m final_energy_ev_per_atom=-2.266 mass_density_g_cm3=6.12 pbc="T T T"
Pt 0.000 0.000 0.000
I 0.000 0.000 2.717
I 0.000 2.717 0.000
I 2.717 0.000 0.000
O 2.717 2.717 2.717



5
Lattice="4.997 0.000 0.000 0.000 4.997 0.000 0.000 0.000 4.997" Properties=species:S:1:pos:R:3 comment="PtI3O PBE-GGA optimized geometry" m_tot_mub_per_cell=0.8 polymorph_energy_mev_per_atom=123 space_group=Pm-3m final_energy_ev_per_atom=-2.143 mass_density_g_cm3=7.88 pbc="T T T"
Pt 0.000 0.000 0.000
I 0.000 2.498 2.498
I 2.498 0.000 2.498
I 2.498 2.498 0.000
O 2.498 2.498 2.498



12
Lattice="3.088 0.000 0.000 -1.544 2.674 0.000 0.000 0.000 22.000" Properties=species:S:1:pos:R:3 comment="PtIO2 PBE-GGA optimized geometry" m_tot_mub_per_cell=0.0 polymorph_energy_mev_per_atom=574 space_group=R-3m final_energy_ev_per_atom=-4.019 mass_density_g_cm3=9.71 pbc="T T T"
Pt 0.000 0.000 0.000
Pt 0.000 1.783 14.667
Pt 1.544 0.891 7.333
I 0.000 0.000 11.000
I 0.000 1.783 3.667
I 1.544 0.891 18.333
O 0.000 0.000 1.908
O 0.000 0.000 20.092
O 0.000 1.783 12.759
O 0.000 1.783 16.574
O 1.544 0.891 5.426
O 1.544 0.891 9.241



16
Lattice="6.381 0.000 0.000 0.000 6.381 0.000 0.000 0.000 6.381" Properties=species:S:1:pos:R:3 comment="Pt2IO PBE-GGA optimized geometry" m_tot_mub_per_cell=0.0 polymorph_energy_mev_per_atom=501 space_group=Fm-3m final_energy_ev_per_atom=-3.869 mass_density_g_cm3=13.63 pbc="T T T"
Pt 1.595 1.595 1.595
Pt 1.595 1.595 4.786
Pt 1.595 4.786 1.595
Pt 1.595 4.786 4.786
Pt 4.786 1.595 1.595
Pt 4.786 1.595 4.786
Pt 4.786 4.786 1.595
Pt 4.786 4.786 4.786
I 0.000 0.000 0.000
I 0.000 3.190 3.190
I 3.190 0.000 3.190
I 3.190 3.190 0.000
O 0.000 0.000 3.190
O 0.000 3.190 0.000
O 3.190 0.000 0.000
O 3.190 3.190 3.190



5
Lattice="4.981 0.000 0.000 0.000 4.981 0.000 0.000 0.000 4.981" Properties=species:S:1:pos:R:3 comment="Pt3IO PBE-GGA optimized geometry" m_tot_mub_per_cell=0.0 polymorph_energy_mev_per_atom=1014 space_group=Pm-3m final_energy_ev_per_atom=-3.126 mass_density_g_cm3=9.79 pbc="T T T"
Pt 0.000 0.000 2.490
Pt 0.000 2.490 0.000
Pt 2.490 0.000 0.000
I 0.000 0.000 0.000
O 2.490 2.490 2.490



5
Lattice="4.050 0.000 0.000 0.000 4.050 0.000 0.000 0.000 4.050" Properties=species:S:1:pos:R:3 comment="PtIO3 PBE-GGA optimized geometry" m_tot_mub_per_cell=0.0 space_group=Pm-3m final_energy_ev_per_atom=-4.174 mass_density_g_cm3=9.25 pbc="T T T"
Pt 0.000 0.000 0.000
I 2.025 2.025 2.025
O 0.000 0.000 2.025
O 0.000 2.025 0.000
O 2.025 0.000 0.000



5
Lattice="4.427 0.000 0.000 0.000 4.427 0.000 0.000 0.000 4.427" Properties=species:S:1:pos:R:3 comment="Pt3IO PBE-GGA optimized geometry" m_tot_mub_per_cell=0.0 polymorph_energy_mev_per_atom=0 space_group=Pm-3m final_energy_ev_per_atom=-4.140 mass_density_g_cm3=13.94 pbc="T T T"
Pt 0.000 0.000 2.213
Pt 0.000 2.213 0.000
Pt 2.213 0.000 0.000
I 2.213 2.213 2.213
O 0.000 0.000 0.000



16
Lattice="6.172 0.000 0.000 0.000 6.172 0.000 0.000 0.000 8.583" Properties=species:S:1:pos:R:3 comment="PtIO2 PBE-GGA optimized geometry" m_tot_mub_per_cell=0.0 polymorph_energy_mev_per_atom=602 space_group=I-42d final_energy_ev_per_atom=-3.991 mass_density_g_cm3=7.19 pbc="T T T"
Pt 0.000 0.000 0.000
Pt 0.000 3.086 2.146
Pt 3.086 0.000 6.437
Pt 3.086 3.086 4.292
I 0.000 0.000 4.292
I 0.000 3.086 6.437
I 3.086 0.000 2.146
I 3.086 3.086 0.000
O 0.551 1.543 1.073
O 1.543 3.637 3.219
O 1.543 5.621 7.510
O 2.535 1.543 5.364
O 3.637 4.629 5.364
O 4.629 0.551 7.510
O 4.629 2.535 3.219
O 5.621 4.629 1.073



16
Lattice="5.990 0.000 0.000 0.000 5.990 0.000 0.000 0.000 5.990" Properties=species:S:1:pos:R:3 comment="PtIO2 PBE-GGA optimized geometry" m_tot_mub_per_cell=0.0 polymorph_energy_mev_per_atom=1106 space_group=Fm-3m final_energy_ev_per_atom=-3.488 mass_density_g_cm3=10.94 pbc="T T T"
Pt 0.000 0.000 0.000
Pt 0.000 2.995 2.995
Pt 2.995 0.000 2.995
Pt 2.995 2.995 0.000
I 0.000 0.000 2.995
I 0.000 2.995 0.000
I 2.995 0.000 0.000
I 2.995 2.995 2.995
O 1.498 1.498 1.498
O 1.498 1.498 4.493
O 1.498 4.493 1.498
O 1.498 4.493 4.493
O 4.493 1.498 1.498
O 4.493 1.498 4.493
O 4.493 4.493 1.498
O 4.493 4.493 4.493



12
Lattice="3.197 0.000 0.000 -1.598 2.768 0.000 0.000 0.000 25.158" Properties=species:S:1:pos:R:3 comment="PtIO2 PBE-GGA optimized geometry" m_tot_mub_per_cell=0.0 polymorph_energy_mev_per_atom=0 space_group=R-3m final_energy_ev_per_atom=-4.594 mass_density_g_cm3=7.92 pbc="T T T"
Pt 0.000 0.000 0.000
Pt 0.000 1.846 16.772
Pt 1.598 0.923 8.386
I 0.000 0.000 12.579
I 0.000 1.846 4.193
I 1.598 0.923 20.965
O 0.000 0.000 9.311
O 0.000 0.000 15.847
O 0.000 1.846 0.925
O 0.000 1.846 7.461
O 1.598 0.923 17.697
O 1.598 0.923 24.233



5
Lattice="4.096 0.000 0.000 0.000 4.096 0.000 0.000 0.000 4.096" Properties=species:S:1:pos:R:3 comment="PtIO3 PBE-GGA optimized geometry" m_tot_mub_per_cell=1.0 space_group=Pm-3m final_energy_ev_per_atom=-3.762 mass_density_g_cm3=8.94 pbc="T T T"
Pt 0.000 0.000 0.000
I 2.048 2.048 2.048
O 0.000 2.048 2.048
O 2.048 0.000 2.048
O 2.048 2.048 0.000